# LaBeCr2, relaxed, DFT PBE
# - ΔE_f (meV per atom) = 442.3
# - magnetic moment (μB/atom) = 0.00
# - total energy (eV/atom) = -6.53
data_LaBeCr2
_chemical_formula_sum 'La2 Be2 Cr4'
_cell_length_a 7.5117
_cell_length_b 3.5128
_cell_length_c 5.6085
_cell_angle_alpha 90.00
_cell_angle_beta 107.17
_cell_angle_gamma 90.00
_space_group_name_H-M_alt 'C 1 2/m 1'
_space_group_IT_number 12
loop_
_space_group_symop_operation_xyz
'x,y,z'
'-x,-y,-z'
'-x,y,-z'
'x,-y,z'
'x+1/2,y+1/2,z'
'-x+1/2,-y+1/2,-z'
'-x+1/2,y+1/2,-z'
'x+1/2,-y+1/2,z'
loop_
_atom_site_label
_atom_site_fract_x
_atom_site_fract_y
_atom_site_fract_z
La1 0.0000 0.0000 0.0000
Be1 0.0000 0.5000 0.5000
Cr1 0.2080 0.0000 0.5935